Pr4Ho5Er2 | PBE | optimized geometry

Cell and atoms, written as CIF:
```
data_Pr4Ho5Er2
_chemical_formula_sum 'Pr8 Ho10 Er4'
_space_group_name_H-M_alt 'I m m m'
_space_group_IT_number 71
_space_group_name_Hall '-I 2 2'
_cell_length_a 3.508
_cell_length_b 9.283
_cell_length_c 22.987
_cell_angle_alpha 90.00
_cell_angle_beta 90.00
_cell_angle_gamma 90.00
loop_
_atom_site_label
_atom_site_type_symbol
_atom_site_fract_x
_atom_site_fract_y
_atom_site_fract_z
_atom_site_occupancy
Pr1 Pr 0.000 0.000 0.096 1
Pr2 Pr 0.000 0.292 0.500 1
Ho1 Ho 0.000 0.200 0.351 1
Ho2 Ho 0.000 0.500 0.000 1
Er1 Er 0.000 0.000 0.230 1
```

Summary:
formation energy from the elements: 0.2967 eV per atom
spin magnetization: 0.000 μB/cell
E above lowest polymorph: 189 meV/atom